1.
A PBEsol-optimized structure of VAgSeO5. Source: Alexandria via LeMat-Bulk, functional meta-GGA SCAN.

Cell lengths 3.952, 5.252, 20.344 Å; angles 90.00, 90.00, 90.00 degrees
Fractional coordinates of all 32 atoms:
O 0.424 0.500 0.250
O 0.916 0.250 0.187
O 0.432 0.495 0.120
Ag 0.572 0.250 0.521
O 0.576 0.500 0.750
O 0.568 0.995 0.880
V 0.493 0.750 0.807
O 0.576 0.000 0.750
O 0.084 0.750 0.813
Se 0.143 0.250 0.381
Ag 0.572 0.750 0.979
Se 0.143 0.750 0.119
V 0.507 0.250 0.193
O 0.432 0.505 0.380
O 0.930 0.250 0.963
O 0.568 0.005 0.620
O 0.568 0.505 0.880
V 0.507 0.750 0.307
Se 0.857 0.250 0.881
O 0.916 0.750 0.313
O 0.432 0.005 0.120
Se 0.857 0.750 0.619
O 0.424 0.000 0.250
O 0.432 0.995 0.380
O 0.930 0.750 0.537
O 0.070 0.750 0.037
Ag 0.428 0.750 0.479
V 0.493 0.250 0.693
O 0.084 0.250 0.687
O 0.568 0.495 0.620
O 0.070 0.250 0.463
Ag 0.428 0.250 0.021

Summary:
Space-group type   Pbcm (57)
M_tot   0.00 μB/cell
Formation energy without anion corrections   -1.48 eV/atom
E   -13.987 eV per atom

2.
A PBEsol-optimized structure of Si2Ag2O5. Source: Alexandria via LeMat-Bulk, functional meta-GGA SCAN.

Cell lengths 4.958, 5.996, 16.616 Å; angles 90.00, 90.00, 90.00 degrees
Fractional coordinates of all 36 atoms:
Ag 0.756 0.387 0.525
O 0.294 0.568 0.910
O 0.226 0.000 0.250
Si 0.715 0.102 0.838
O 0.294 0.432 0.590
O 0.106 0.332 0.346
O 0.606 0.832 0.154
O 0.894 0.668 0.654
Si 0.215 0.602 0.662
O 0.706 0.568 0.410
Ag 0.256 0.887 0.975
O 0.726 0.500 0.250
O 0.394 0.832 0.654
Si 0.215 0.398 0.838
O 0.706 0.432 0.090
O 0.206 0.932 0.410
Si 0.285 0.898 0.162
O 0.774 0.000 0.750
O 0.794 0.068 0.590
O 0.274 0.500 0.750
O 0.794 0.932 0.910
Ag 0.244 0.387 0.025
Si 0.285 0.102 0.338
Ag 0.256 0.113 0.525
O 0.894 0.332 0.846
O 0.206 0.068 0.090
O 0.394 0.168 0.846
Ag 0.744 0.887 0.475
Si 0.785 0.398 0.338
Si 0.785 0.602 0.162
Si 0.715 0.898 0.662
O 0.606 0.168 0.346
Ag 0.744 0.113 0.025
Ag 0.756 0.613 0.975
Ag 0.244 0.613 0.475
O 0.106 0.668 0.154

Summary:
Space-group type   Pbcn (60)
M_tot   0.00 μB/cell
Formation energy without anion corrections   -2.03 eV/atom
E   -14.692 eV per atom

3.
A PBEsol-optimized structure of SiAg5O4. Source: Alexandria via LeMat-Bulk, functional meta-GGA SCAN.

Cell lengths 6.270, 8.814, 9.993 Å; angles 90.00, 90.00, 90.00 degrees
Fractional coordinates of all 40 atoms:
O 0.500 0.740 0.046
Ag 0.769 0.892 0.119
Ag 0.719 0.934 0.621
O 0.000 0.906 0.303
Ag 0.781 0.434 0.879
Si 0.500 0.761 0.881
O 0.000 0.240 0.454
Ag 0.500 0.791 0.413
O 0.500 0.594 0.803
Ag 0.500 0.209 0.587
O 0.280 0.146 0.161
O 0.280 0.854 0.839
Ag 0.219 0.434 0.879
Ag 0.731 0.392 0.381
O 0.780 0.646 0.339
Ag 0.281 0.934 0.621
Ag 0.231 0.892 0.119
Ag 0.769 0.108 0.881
O 0.720 0.854 0.839
O 0.780 0.354 0.661
Ag 0.731 0.608 0.619
O 0.720 0.146 0.161
Ag 0.269 0.608 0.619
Ag 0.781 0.566 0.121
O 0.220 0.646 0.339
Ag 0.000 0.291 0.087
Ag 0.231 0.108 0.881
Si 0.500 0.239 0.119
Si 0.000 0.261 0.619
O 0.220 0.354 0.661
Ag 0.719 0.066 0.379
O 0.000 0.094 0.697
O 0.500 0.406 0.197
O 0.000 0.760 0.546
Ag 0.281 0.066 0.379
Ag 0.219 0.566 0.121
Ag 0.269 0.392 0.381
Ag 0.000 0.709 0.913
O 0.500 0.260 0.954
Si 0.000 0.739 0.381

Summary:
Space-group type   Pnnm (58)
M_tot   0.00 μB/cell
Formation energy without anion corrections   -1.00 eV/atom
E   -20.174 eV per atom

4.
A PBEsol-optimized structure of YSi2Ag3O7. Source: Alexandria via LeMat-Bulk, functional meta-GGA SCAN.

Cell lengths 9.367, 9.367, 14.031 Å; angles 90.00, 90.00, 120.00 degrees
Fractional coordinates of all 78 atoms:
O 0.879 0.476 0.881
Y 0.667 0.333 0.520
Si 0.018 0.666 0.642
Ag 0.697 0.691 0.579
Ag 0.333 0.667 0.250
O 0.174 0.731 0.568
O 0.524 0.402 0.619
O 0.826 0.269 0.432
O 0.556 0.826 0.932
O 0.052 0.205 0.354
Si 0.352 0.018 0.142
O 0.269 0.444 0.932
Si 0.982 0.334 0.358
O 0.269 0.444 0.568
O 0.205 0.153 0.646
O 0.847 0.052 0.646
O 0.731 0.556 0.068
Si 0.648 0.982 0.858
O 0.577 0.903 0.750
O 0.174 0.731 0.932
Ag 0.000 0.000 0.000
O 0.476 0.598 0.381
O 0.674 0.577 0.250
Ag 0.691 0.994 0.421
Ag 0.333 0.667 0.750
O 0.402 0.879 0.381
Ag 0.667 0.333 0.250
O 0.598 0.121 0.881
O 0.444 0.174 0.068
Si 0.666 0.648 0.142
O 0.052 0.205 0.146
O 0.826 0.269 0.068
O 0.948 0.795 0.646
Si 0.334 0.352 0.642
O 0.731 0.556 0.432
Ag 0.309 0.006 0.579
O 0.423 0.097 0.250
O 0.121 0.524 0.119
Y 0.667 0.333 0.980
O 0.795 0.847 0.354
Y 0.333 0.667 0.480
Ag 0.994 0.303 0.579
O 0.121 0.524 0.381
Si 0.334 0.352 0.858
O 0.948 0.795 0.854
Ag 0.303 0.309 0.421
O 0.476 0.598 0.119
O 0.153 0.948 0.354
Si 0.648 0.982 0.642
Y 0.000 0.000 0.250
O 0.097 0.674 0.750
O 0.153 0.948 0.146
O 0.598 0.121 0.619
O 0.402 0.879 0.119
O 0.556 0.826 0.568
Si 0.666 0.648 0.358
Ag 0.691 0.994 0.079
O 0.205 0.153 0.854
Ag 0.667 0.333 0.750
O 0.795 0.847 0.146
O 0.524 0.402 0.881
Si 0.982 0.334 0.142
Y 0.000 0.000 0.750
O 0.326 0.423 0.750
O 0.847 0.052 0.854
Ag 0.006 0.697 0.079
Si 0.018 0.666 0.858
O 0.879 0.476 0.619
O 0.444 0.174 0.432
Ag 0.303 0.309 0.079
Ag 0.994 0.303 0.921
Ag 0.697 0.691 0.921
Ag 0.000 0.000 0.500
O 0.903 0.326 0.250
Y 0.333 0.667 0.020
Ag 0.309 0.006 0.921
Ag 0.006 0.697 0.421
Si 0.352 0.018 0.358

Summary:
Space-group type   P6_3/m (176)
M_tot   0.00 μB/cell
Formation energy without anion corrections   -2.23 eV/atom
E   -16.504 eV per atom

5.
A PBEsol-optimized structure of Zn3Si4Ag2O14. Source: Alexandria via LeMat-Bulk, functional meta-GGA SCAN.

Cell lengths 7.805, 9.677, 9.740 Å; angles 62.73, 66.38, 66.22 degrees
Fractional coordinates of all 46 atoms:
O 0.583 0.835 0.531
Zn 0.614 0.750 0.250
Ag 0.000 0.000 0.000
Si 0.584 0.679 0.690
Si 0.723 0.372 0.387
O 0.994 0.728 0.406
O 0.512 0.725 0.850
Zn 0.047 0.574 0.144
O 0.006 0.272 0.594
O 0.270 0.088 0.206
Si 0.518 0.872 0.887
O 0.353 0.037 0.818
O 0.484 0.809 0.082
Si 0.047 0.179 0.190
Si 0.953 0.821 0.810
Zn 0.766 0.926 0.356
Zn 0.953 0.426 0.856
O 0.948 0.665 0.969
Si 0.277 0.628 0.613
O 0.046 0.954 0.800
Ag 0.759 0.250 0.750
O 0.730 0.912 0.794
O 0.488 0.275 0.150
O 0.208 0.463 0.682
Ag 0.000 0.500 0.500
O 0.872 0.228 0.906
Zn 0.234 0.074 0.644
O 0.792 0.537 0.318
O 0.626 0.309 0.582
O 0.128 0.772 0.094
O 0.516 0.191 0.918
O 0.200 0.454 0.300
O 0.436 0.588 0.706
Si 0.416 0.321 0.310
O 0.564 0.412 0.294
O 0.913 0.225 0.350
O 0.647 0.963 0.182
O 0.374 0.691 0.418
O 0.052 0.335 0.031
Zn 0.386 0.250 0.750
O 0.417 0.165 0.469
Ag 0.241 0.750 0.250
Si 0.482 0.128 0.113
O 0.087 0.775 0.650
O 0.954 0.046 0.200
O 0.800 0.546 0.700

Summary:
Space-group type   C2/c (15)
M_tot   0.01 μB/cell
Formation energy without anion corrections   -1.96 eV/atom
E   -11.980 eV per atom

6.
A PBEsol-optimized structure of SmAgW2O8. Source: Alexandria via LeMat-Bulk, functional meta-GGA SCAN.

Cell lengths 7.231, 7.387, 7.387 Å; angles 94.44, 114.59, 114.59 degrees
Fractional coordinates of all 24 atoms:
O 0.662 0.978 0.978
O 0.143 0.444 0.444
Ag 0.518 0.691 0.691
W 0.500 0.163 0.837
O 0.759 0.102 0.347
W 0.976 0.211 0.211
O 0.094 0.045 0.302
O 0.759 0.347 0.102
W 0.024 0.789 0.789
O 0.094 0.302 0.045
O 0.241 0.653 0.898
Sm 0.000 0.306 0.694
O 0.643 0.212 0.685
O 0.338 0.022 0.022
O 0.906 0.698 0.955
O 0.357 0.315 0.788
O 0.643 0.685 0.212
W 0.500 0.837 0.163
Sm 0.000 0.694 0.306
O 0.241 0.898 0.653
O 0.357 0.788 0.315
O 0.857 0.556 0.556
O 0.906 0.955 0.698
Ag 0.482 0.309 0.309

Summary:
Space-group type   C2/m (12)
M_tot   0.00 μB/cell
Formation energy without anion corrections   -2.42 eV/atom
E   -24.506 eV per atom

7.
A PBEsol-optimized structure of Sr3AgO. Source: Alexandria via LeMat-Bulk, functional meta-GGA SCAN.

Cell lengths 5.106, 5.106, 5.106 Å; angles 90.00, 90.00, 90.00 degrees
Fractional coordinates of all 5 atoms:
O 0.000 0.000 0.000
Sr 0.000 0.500 0.000
Ag 0.500 0.500 0.500
Sr 0.000 0.000 0.500
Sr 0.500 0.000 0.000

Summary:
Energy above the most stable polymorph in this dataset   0 meV per atom
Space-group type   Pm-3m (221)
M_tot   0.00 μB/cell
Formation energy without anion corrections   -1.26 eV/atom
E   -22.145 eV per atom

8.
A PBEsol-optimized structure of TbTa5Ag2O15. Source: Alexandria via LeMat-Bulk, functional meta-GGA SCAN.

Cell lengths 3.886, 12.453, 12.453 Å; angles 90.00, 90.00, 90.00 degrees
Fractional coordinates of all 46 atoms:
O 0.000 0.274 0.226
O 0.500 0.000 0.500
O 0.000 0.774 0.274
O 0.000 0.341 0.998
O 0.000 0.943 0.870
Ta 0.000 0.291 0.581
Ag 0.500 0.656 0.156
Ag 0.500 0.844 0.656
Ag 0.500 0.344 0.844
O 0.000 0.226 0.726
O 0.500 0.079 0.813
Ta 0.000 0.081 0.791
O 0.500 0.813 0.921
O 0.000 0.443 0.630
O 0.500 0.421 0.313
O 0.000 0.841 0.502
Tb 0.500 0.500 0.500
O 0.500 0.579 0.687
O 0.000 0.159 0.498
Ta 0.000 0.000 0.500
O 0.500 0.921 0.187
O 0.500 0.187 0.079
Ta 0.000 0.500 0.000
Ta 0.000 0.919 0.209
O 0.500 0.500 0.000
Ag 0.500 0.156 0.344
Ta 0.000 0.791 0.919
O 0.000 0.659 0.002
O 0.000 0.498 0.841
O 0.000 0.557 0.370
O 0.500 0.313 0.579
O 0.000 0.998 0.659
Ta 0.000 0.581 0.709
Ta 0.000 0.209 0.081
O 0.500 0.687 0.421
O 0.000 0.870 0.057
Ta 0.000 0.709 0.419
O 0.000 0.002 0.341
O 0.000 0.057 0.130
O 0.000 0.130 0.943
O 0.000 0.370 0.443
O 0.000 0.630 0.557
Tb 0.500 0.000 0.000
Ta 0.000 0.419 0.291
O 0.000 0.726 0.774
O 0.000 0.502 0.159

Summary:
Space-group type   P4/mbm (127)
M_tot   0.00 μB/cell
Formation energy without anion corrections   -2.75 eV/atom
E   -26.054 eV per atom

9.
A PBEsol-optimized structure of TcAgO4. Source: Alexandria via LeMat-Bulk, functional meta-GGA SCAN.

Cell lengths 5.255, 5.255, 6.769 Å; angles 112.84, 112.84, 90.00 degrees
Fractional coordinates of all 12 atoms:
O 0.278 0.649 0.828
Tc 0.750 0.250 0.500
Ag 0.250 0.750 0.500
O 0.821 0.722 0.172
O 0.700 0.571 0.672
O 0.429 0.028 0.328
O 0.351 0.450 0.172
O 0.550 0.179 0.828
O 0.899 0.300 0.328
Tc 0.500 0.500 0.000
O 0.972 0.101 0.672
Ag 0.000 0.000 0.000

Summary:
Space-group type   I4_1/a (88)
M_tot   0.00 μB/cell
Formation energy without anion corrections   -1.27 eV/atom
E   -16.492 eV per atom

10.
A PBEsol-optimized structure of Ag2Te2O7. Source: Alexandria via LeMat-Bulk, functional meta-GGA SCAN.

Cell lengths 7.331, 7.353, 7.353 Å; angles 60.93, 60.10, 60.10 degrees
Fractional coordinates of all 22 atoms:
Te 0.000 0.000 0.000
Te 0.500 0.500 0.500
Ag 0.500 0.000 0.000
Te 0.500 0.000 0.500
O 0.083 0.689 0.144
O 0.584 0.687 0.554
O 0.916 0.946 0.813
Te 0.000 0.000 0.500
O 0.825 0.313 0.446
O 0.675 0.054 0.187
Ag 0.000 0.500 0.500
Ag 0.000 0.500 0.000
Ag 0.500 0.500 0.000
O 0.175 0.687 0.554
O 0.583 0.644 0.189
O 0.416 0.313 0.446
O 0.325 0.946 0.813
O 0.917 0.311 0.856
O 0.417 0.356 0.811
O 0.084 0.054 0.187
O 0.250 0.093 0.407
O 0.750 0.907 0.593

Summary:
Space-group type   Imma (74)
M_tot   0.00 μB/cell
Formation energy without anion corrections   -0.78 eV/atom
E   -17.221 eV per atom

- Which formula does entry 10 have?
  Ag2Te2O7